NbCdH: optimized geometry, PBE.

The calculation puts the density of states at the Fermi level at 2.4 states/eV per cell. For the energy above the most stable polymorph in this dataset, the calculation gives 0.166 eV/atom. The value obtained for the total DFT energy (no corrections) is -4.6221 eV per atom.

The structure belongs to space group P2_1/m (No. 11); the cell edges are 4.6923, 3.0856 and 7.7230 Å and the angles 90.00°, 105.92° and 90.00°. The asymmetric unit holds Nb at (0.2460, 0.2500, 0.4877), Cd at (0.4731, 0.7500, 0.8348) and H at (0.0078, 0.7500, 0.3447).